1.
Below is a relaxed MgRhSe2 crystal, with properties calculated at the PBE level.

V in Å³ per cell: 78.14
Raw formation energy in eV/atom: -0.29
Total energy in eV/atom: -4.268
DOS at the Fermi energy in states/eV/f.u.: 2.23

Unit cell a=4.6789 b=4.6789 c=4.6789 alpha=112.73 beta=112.73 gamma=103.13
Atoms (fractional coordinates):
1 Mg 0.0000 0.0000 0.0000
2 Rh 0.5000 0.5000 0.0000
3 Se 0.0000 0.5000 0.5000
4 Se 0.5000 0.0000 0.5000


2.
Below is a relaxed La8Tm3Sc crystal, with properties calculated at the PBE level.

Energy of formation from the pure elements in eV/f.u.: 6.14
V in Å³ per cell: 449.77
Total energy in eV/atom: -4.419
DOS at the Fermi energy in states/eV/f.u.: 22.31

Unit cell a=8.5393 b=8.5393 c=8.5393 alpha=118.50 beta=118.50 gamma=92.62
Atoms (fractional coordinates):
1 La 0.1198 0.1198 0.7486
2 La 0.2287 0.2287 0.4864
3 La 0.2578 0.7713 0.0000
4 La 0.3711 0.3711 0.2514
5 La 0.6289 0.8802 0.0000
6 La 0.7422 0.7422 0.5136
7 La 0.7713 0.2578 0.0000
8 La 0.8802 0.6289 0.0000
9 Tm 0.2500 0.7500 0.5000
10 Tm 0.5000 0.5000 0.0000
11 Tm 0.7500 0.2500 0.5000
12 Sc 0.0000 0.0000 0.0000